1.
DFT (PBE) results for BaZnSeO after structural relaxation.

Cell and atoms, written as CIF:
```
data_BaZnSeO
_space_group_name_H-M_alt 'P n m a'
_space_group_IT_number 62
_space_group_name_Hall '-P 2ac 2n'
_cell_length_a 6.3520
_cell_length_b 4.1807
_cell_length_c 13.6249
_cell_angle_alpha 90.00
_cell_angle_beta 90.00
_cell_angle_gamma 90.00
loop_
_atom_site_label
_atom_site_fract_x
_atom_site_fract_y
_atom_site_fract_z
_atom_site_occupancy
Ba1 0.2471 0.2500 0.1270 1
Zn1 0.2093 0.2500 0.8290 1
Se1 0.2454 0.2500 0.4293 1
O1 0.0895 0.7500 0.2175 1
```

Output
V ... 22.614 Å³/atom
Energy ... -74.1 eV/cell

2.
DFT (PBE) results for BaZnSeO after structural relaxation.

Cell and atoms, written as CIF:
```
data_BaZnSeO
_space_group_name_H-M_alt 'C m c 21'
_space_group_IT_number 36
_space_group_name_Hall 'C 2c -2'
_cell_length_a 4.0964
_cell_length_b 13.3895
_cell_length_c 6.2162
_cell_angle_alpha 90.00
_cell_angle_beta 90.00
_cell_angle_gamma 90.00
loop_
_atom_site_label
_atom_site_fract_x
_atom_site_fract_y
_atom_site_fract_z
_atom_site_occupancy
Ba1 0.0000 0.1028 0.0000 1
Zn1 0.0000 0.4056 0.9927 1
Se1 0.0000 0.1947 0.5018 1
O1 0.0000 0.4934 0.7315 1
```

Output
V ... 21.310 Å³/atom
Energy ... -74.1 eV/cell